# 1
{"formula": "Hf2NbSnW", "functional": "GGA-PBE", "state": "relaxed", "lattice_angstrom": [[4.979, 0.000, 0.000], [0.000, 4.979, 0.000], [0.000, 0.000, 5.174]], "species": ["Hf", "Hf", "Nb", "Sn", "W"], "frac_coords": [[0.000, 0.500, 0.000], [0.500, 0.000, 0.000], [0.000, 0.000, 0.000], [0.000, 0.000, 0.500], [0.500, 0.500, 0.500]], "spacegroup": "P4/mmm (123)", "crystal_system": "tetragonal", "m_tot_mub_per_cell": 2.72}

# 2
{"formula": "Dy2TmScP4", "functional": "GGA-PBE", "state": "relaxed", "lattice_angstrom": [[6.806, 0.000, 0.000], [0.000, 3.936, 0.000], [-2.273, 0.000, 6.421]], "species": ["Dy", "Dy", "Tm", "Sc", "P", "P", "P", "P"], "frac_coords": [[0.000, 0.000, 0.000], [0.000, 0.500, 0.500], [0.500, 0.000, 0.500], [0.500, 0.500, 0.000], [0.257, 0.500, 0.248], [0.261, 0.000, 0.759], [0.739, 0.000, 0.241], [0.743, 0.500, 0.752]], "spacegroup": "P2/m (10)", "crystal_system": "monoclinic", "m_tot_mub_per_cell": 0.00}

no.,ΔH_f (0 K) (eV per atom),uncorrected energy (eV/atom)
1,1.565,-7.821
2,-1.567,-6.773